1.
# Ba2TlSi

A relaxed Ba2TlSi crystal (GGA-PBE, Alexandria).

abc: 5.011 5.011 11.000
angles: 90.00 90.00 90.00
Space group I-4m2 (No. 119)
Symmetry-distinct sites (fractional):
Ba: 0.000 0.000 0.000 [2 per cell]
Ba: 0.000 0.500 0.250 [2 per cell]
Tl: 0.000 0.000 0.500 [2 per cell]
Si: 0.000 0.500 0.750 [2 per cell]

Summary:
For the raw formation energy, the calculation gives -7 kJ per mole of atoms. As for the theoretical density: 6.10 Mg/m³. As for the total magnetization: 0.00 μB/f.u. The total energy is -23.8 eV for the cell shown. Its volume is 276 Å³ per cell.

***

2.
# BaTlSi2

A relaxed BaTlSi2 crystal (GGA-PBE, Alexandria).

abc: 7.583 7.583 7.583
angles: 90.00 90.00 90.00
Space group F-43m (No. 216)
Symmetry-distinct sites (fractional):
Ba: 0.000 0.000 0.000 [4 per cell]
Tl: 0.250 0.250 0.250 [4 per cell]
Si: 0.000 0.000 0.500 [4 per cell]
Si: 0.250 0.250 0.750 [4 per cell]

Summary:
For the raw formation energy, the calculation gives 31 kJ per mole of atoms. As for the theoretical density: 6.06 Mg/m³. As for the total magnetization: 0.00 μB/f.u. The total energy is -55.3 eV for the cell shown. Its volume is 436 Å³ per cell.